(1)
# ZrBPdBr2

ZrBPdBr2 after structural relaxation (PBE, Alexandria via LeMat-Bulk).

DOS at the Fermi energy = 3.6 states/eV/cell
Space group = No. 123
Volume = 142.06 Å³ per cell
Total DFT energy (no corrections) = -19.9 eV/cell
Formation energy (no corrections) = 0.772 eV/atom

POSCAR file:
```
ZrBPdBr2
1.0
5.2208 0.0000 0.0000
0.0000 5.2208 0.0000
0.0000 0.0000 5.2119
Zr B Pd Br
1 1 1 2
Cartesian
0.0000 0.0000 0.0000 Zr
2.6104 2.6104 2.6059 B
0.0000 0.0000 2.6059 Pd
0.0000 2.6104 0.0000 Br
2.6104 0.0000 0.0000 Br
```

(2)
# KBeRu

KBeRu after structural relaxation (PBE, Alexandria via LeMat-Bulk).

DOS at the Fermi energy = 5.4 states/eV/cell
Space group = No. 107
Polymorph energy (0 for the lowest one) = 0.00 kJ per mole of atoms
Volume = 117.08 Å³ per cell
Total DFT energy (no corrections) = -25.2 eV/cell
Formation enthalpy at 0 K = 0.5041 eV/atom

POSCAR file:
```
KBeRu
1.0
3.1410 0.0000 0.0000
0.0000 3.1410 0.0000
0.0000 0.0000 11.8669
K Be Ru
2 2 2
Cartesian
0.0000 0.0000 0.0000 K
1.5705 1.5705 5.9334 K
0.0000 0.0000 3.1330 Be
1.5705 1.5705 9.0664 Be
0.0000 0.0000 8.6742 Ru
1.5705 1.5705 2.7407 Ru
```